[1]
Hf3TiCu at its PBEsol-relaxed geometry, computed with meta-GGA SCAN.

a b c (Å): 4.7835 4.7835 4.7835
angles (deg): 90.00 90.00 90.00
With the nearest neighbours (Å) after each atom.
Sites, in units of the cell vectors:
Hf: 0.0000 0.0000 0.5000  2 Cu 2.39
Hf: 0.0000 0.5000 0.0000  2 Cu 2.39
Hf: 0.5000 0.0000 0.0000  2 Cu 2.39
Ti: 0.5000 0.5000 0.5000  12 Hf 3.38
Cu: 0.0000 0.0000 0.0000  6 Hf 2.39

Properties
Electronic total energy (eV/atom): -43.229
Density (g/cm3): 9.814
Calculated volume (Å³/cell): 109.5
Spin magnetization (μB/cell): 3.0

=====

[2]
Ga2I3 at its PBEsol-relaxed geometry, computed with meta-GGA SCAN.

a b c (Å): 7.5729 8.3186 13.5167
angles (deg): 90.00 122.85 90.00
With the nearest neighbours (Å) after each atom.
Sites, in units of the cell vectors:
Ga: 0.1278 0.0988 0.0609  1 Ga 2.39, 3 I 2.60-2.63
Ga: 0.1278 0.4012 0.5609  1 Ga 2.39, 3 I 2.60-2.63
Ga: 0.2575 0.6188 0.2969  6 I 3.20-3.38
Ga: 0.2575 0.8812 0.7969  6 I 3.20-3.38
Ga: 0.7425 0.1188 0.2031  6 I 3.20-3.38
Ga: 0.7425 0.3812 0.7031  6 I 3.20-3.38
Ga: 0.8722 0.5988 0.4391  1 Ga 2.39, 3 I 2.60-2.63
Ga: 0.8722 0.9012 0.9391  1 Ga 2.39, 3 I 2.60-2.63
I: 0.0531 0.6583 0.9077  1 Ga 2.60
I: 0.0531 0.8417 0.4077  1 Ga 2.60
I: 0.3154 0.2058 0.9579  1 Ga 2.63
I: 0.3154 0.2942 0.4579  1 Ga 2.63
I: 0.4178 0.5182 0.7644  1 Ga 2.60
I: 0.4178 0.9818 0.2644  1 Ga 2.60
I: 0.5822 0.0182 0.7356  1 Ga 2.60
I: 0.5822 0.4818 0.2356  1 Ga 2.60
I: 0.6846 0.7058 0.5421  1 Ga 2.63
I: 0.6846 0.7942 0.0421  1 Ga 2.63
I: 0.9469 0.1583 0.5923  1 Ga 2.60
I: 0.9469 0.3417 0.0923  1 Ga 2.60

Properties
Formation energy from raw total energies (meV per atom): -382
Density (g/cm3): 4.830
Calculated volume (Å³/cell): 715.3
Spin magnetization (μB/cell): 0.0

=====

[3]
InMoOs2 at its PBEsol-relaxed geometry, computed with meta-GGA SCAN.

a b c (Å): 4.4563 4.4563 3.1289
angles (deg): 90.00 90.00 90.00
With the nearest neighbours (Å) after each atom.
Sites, in units of the cell vectors:
In: 0.0000 0.0000 0.0000  8 Os 2.72
Mo: 0.5000 0.5000 0.0000  8 Os 2.72
Os: 0.0000 0.5000 0.5000  4 In 2.72, 4 Mo 2.72
Os: 0.5000 0.0000 0.5000  4 In 2.72, 4 Mo 2.72

Properties
Electronic total energy (eV/atom): -52.599
Density (g/cm3): 15.801
Calculated volume (Å³/cell): 62.1
Spin magnetization (μB/cell): 0.0

=====

[4]
In2MoP at its PBEsol-relaxed geometry, computed with meta-GGA SCAN.

a b c (Å): 4.6892 4.6892 4.6892
angles (deg): 60.00 60.00 60.00
With the nearest neighbours (Å) after each atom.
Sites, in units of the cell vectors:
In: 0.0000 0.0000 0.0000  4 P 2.87, 4 In 2.87
In: 0.2500 0.2500 0.2500  4 In 2.87, 4 Mo 2.87
Mo: 0.5000 0.5000 0.5000  4 In 2.87, 4 P 2.87
P: 0.7500 0.7500 0.7500  4 In 2.87, 4 Mo 2.87

Properties
Electronic total energy (eV/atom): -27.310
Density (g/cm3): 8.121
Calculated volume (Å³/cell): 72.9
Spin magnetization (μB/cell): 2.3

=====

What is the calculated volume in the fourth record?
72.9 Å³/cell

=====

The highest density belongs to which entry?
InMoOs2

=====

Among the records above, which one has the lowest density?
Ga2I3